! PBE Nb3Rh, relaxed; values from VASP
! Size of the total moment = 0.000 μB per cell
! SG = P4/mmm
! E_form = -231 meV/atom
! E = -9.621 eV per atom
&SYSTEM
  ibrav = 0, nat = 4, ntyp = 2
/
ATOMIC_SPECIES
Nb 92.91 Nb.upf
Rh 102.91 Rh.upf
ATOMIC_POSITIONS angstrom
Nb 3.5455 -2.2315 0.0281
Nb 1.3233 -1.4524 1.5696
Nb 2.1082 -4.5050 0.8557
Rh 0.4626 -2.8497 -0.7165
CELL_PARAMETERS angstrom
-0.5762 -0.8764 3.1138
-2.2986 -3.6704 -1.4584
3.8679 -2.4344 0.0306

=====

! PBE Nb4Rh, relaxed; values from VASP
! Size of the total moment = 0.000 μB per cell
! Energy above the lowest structure with this stoichiometry = 29 meV per atom
! SG = Fmmm
! E_form = -142 meV/atom
! E = -9.668 eV per atom
&SYSTEM
  ibrav = 0, nat = 5, ntyp = 2
/
ATOMIC_SPECIES
Nb 92.91 Nb.upf
Rh 102.91 Rh.upf
ATOMIC_POSITIONS angstrom
Nb -8.9236 2.8809 -2.0937
Nb -17.3502 3.0910 -5.0454
Nb -4.4721 2.7699 -0.5344
Nb -12.8986 2.9800 -3.4861
Rh 0.0000 0.0000 0.0000
CELL_PARAMETERS angstrom
-10.3840 2.4426 -4.3294
-11.1754 0.7534 -2.1904
-0.2628 2.6650 0.9401

=====

! PBE Nb3Rh7, relaxed; values from VASP
! Size of the total moment = 0.000 μB per cell
! SG = C2/m
! E_form = -491 meV/atom
! E = -8.658 eV per atom
&SYSTEM
  ibrav = 0, nat = 10, ntyp = 2
/
ATOMIC_SPECIES
Nb 92.91 Nb.upf
Rh 102.91 Rh.upf
ATOMIC_POSITIONS angstrom
Nb 0.0000 0.0000 0.0000
Nb 1.9716 1.0195 4.3053
Nb 0.0000 2.7884 2.7174
Rh 0.0000 2.7681 0.0429
Rh 1.9716 3.8511 4.2097
Rh 0.0000 -0.0432 2.8129
Rh 1.9716 1.3701 1.4363
Rh 0.0000 2.4378 5.5863
Rh 1.9716 4.1157 1.4358
Rh 0.0000 -0.3079 5.5868
CELL_PARAMETERS angstrom
3.9431 0.0000 0.0000
0.0000 5.5363 0.0858
-1.9716 -1.7284 6.9369

=====

! PBE Nb3Rh, relaxed; values from VASP
! Size of the total moment = 0.000 μB per cell
! SG = Pm-3n
! E_form = -279 meV/atom
! E = -9.669 eV per atom
&SYSTEM
  ibrav = 0, nat = 8, ntyp = 2
/
ATOMIC_SPECIES
Nb 92.91 Nb.upf
Rh 102.91 Rh.upf
ATOMIC_POSITIONS angstrom
Nb -1.4261 2.3188 0.9931
Nb -2.3137 3.9830 -0.7847
Nb -2.7194 -0.5749 0.8194
Nb -3.7018 0.9118 2.7014
Nb -4.2298 -0.3134 -1.9603
Nb -2.0016 1.0050 -1.8387
Rh 0.0000 0.0000 0.0000
Rh -4.0981 1.8326 -0.0175
CELL_PARAMETERS angstrom
-1.7750 3.3282 -3.5557
-4.4564 -2.6366 -0.2433
-1.9648 2.9735 3.7641

=====

! PBE Nb4Rh, relaxed; values from VASP
! Size of the total moment = 0.001 μB per cell
! Energy above the lowest structure with this stoichiometry = 1277 meV per atom
! SG = Pm-3m
! E_form = 1106 meV/atom
! E = -8.420 eV per atom
&SYSTEM
  ibrav = 0, nat = 5, ntyp = 2
/
ATOMIC_SPECIES
Nb 92.91 Nb.upf
Rh 102.91 Rh.upf
ATOMIC_POSITIONS angstrom
Nb 0.0000 0.0000 0.0000
Nb -1.1272 0.7712 3.0980
Nb -3.1277 -0.8977 0.9355
Nb -2.3936 2.3624 0.3911
Rh -3.3243 1.1180 2.2123
CELL_PARAMETERS angstrom
-0.3932 4.0313 2.5536
-4.3940 0.6935 -1.7714
-1.8613 -2.4889 3.6425

=====

! PBE Nb4Rh, relaxed; values from VASP
! Size of the total moment = 0.000 μB per cell
! Energy above the lowest structure with this stoichiometry = 0 meV per atom
! SG = R-3m
! E_form = -171 meV/atom
! E = -9.697 eV per atom
&SYSTEM
  ibrav = 0, nat = 5, ntyp = 2
/
ATOMIC_SPECIES
Nb 92.91 Nb.upf
Rh 102.91 Rh.upf
ATOMIC_POSITIONS angstrom
Nb 1.0102 -3.0132 0.8212
Nb -0.4091 -4.7914 2.5325
Nb 0.5543 -7.7809 3.3709
Nb 1.9737 -6.0026 1.6596
Rh 0.0000 0.0000 0.0000
CELL_PARAMETERS angstrom
0.2162 -2.4222 3.9509
-2.0127 -4.1655 0.2802
3.3611 -4.2064 -0.0389

=====

! PBE Nb7Rh, relaxed; values from VASP
! Size of the total moment = 0.000 μB per cell
! SG = R-3m
! E_form = -163 meV/atom
! E = -9.893 eV per atom
&SYSTEM
  ibrav = 0, nat = 16, ntyp = 2
/
ATOMIC_SPECIES
Nb 92.91 Nb.upf
Rh 102.91 Rh.upf
ATOMIC_POSITIONS angstrom
Nb -1.5633 2.0145 5.7765
Nb 0.0730 3.5227 3.3601
Nb -0.3873 -0.8837 4.7723
Nb 1.2282 0.6137 2.3152
Nb -2.6195 4.0639 4.0393
Nb -3.0877 -0.4185 5.4758
Nb -1.4479 1.1352 3.0704
Nb 1.0244 2.3820 7.7665
Nb 2.6642 3.9357 5.3611
Nb 2.1960 -0.5467 6.7976
Nb -1.6517 2.9035 8.5216
Nb -0.0362 4.4009 6.0646
Nb -0.4965 -0.0056 7.4767
Nb 1.1398 1.5027 5.0603
Rh -4.1694 2.5080 6.4670
Rh 3.7459 1.0092 4.3699
CELL_PARAMETERS angstrom
-2.3304 5.8035 2.0057
-3.2528 -3.0278 4.8359
5.1596 0.7415 3.9953

=====

! PBE Nb3Rh, relaxed; values from VASP
! Size of the total moment = 0.000 μB per cell
! SG = I4/mmm
! E_form = -73 meV/atom
! E = -9.464 eV per atom
&SYSTEM
  ibrav = 0, nat = 4, ntyp = 2
/
ATOMIC_SPECIES
Nb 92.91 Nb.upf
Rh 102.91 Rh.upf
ATOMIC_POSITIONS angstrom
Nb 0.4224 2.0168 2.1829
Nb -0.3958 -0.5248 2.9289
Nb -2.2543 1.0781 1.2006
Rh 0.0000 0.0000 0.0000
CELL_PARAMETERS angstrom
-1.4361 3.6197 0.4545
-3.0725 -1.4635 1.9466
4.5352 -0.6643 2.7106

=====

! PBE Nb3Ru2Rh, relaxed; values from VASP
! Size of the total moment = 0.000 μB per cell
! Energy above the lowest structure with this stoichiometry = 0 meV per atom
! SG = P4/mmm
! E_form = -251 meV/atom
! E = -9.603 eV per atom
&SYSTEM
  ibrav = 0, nat = 6, ntyp = 3
/
ATOMIC_SPECIES
Nb 92.91 Nb.upf
Ru 101.07 Ru.upf
Rh 102.91 Rh.upf
ATOMIC_POSITIONS angstrom
Nb 0.0000 0.0000 0.0000
Nb -1.4104 -5.3469 4.6887
Nb -0.6823 -2.5865 2.2681
Ru -2.7319 -7.8058 4.3384
Ru -1.2863 -2.3255 -0.4672
Rh -2.0091 -5.0656 1.9356
CELL_PARAMETERS angstrom
-2.8112 -0.1762 -1.0466
0.8858 -2.0217 -2.0390
-2.0927 -7.9334 6.9568

=====

! PBE Nb4RuRh, relaxed; values from VASP
! Size of the total moment = 0.000 μB per cell
! Energy above the lowest structure with this stoichiometry = 199 meV per atom
! SG = P2/m
! E_form = 218 meV/atom
! E = -9.266 eV per atom
&SYSTEM
  ibrav = 0, nat = 6, ntyp = 3
/
ATOMIC_SPECIES
Nb 92.91 Nb.upf
Ru 101.07 Ru.upf
Rh 102.91 Rh.upf
ATOMIC_POSITIONS angstrom
Nb 2.0477 4.6568 1.8811
Nb 2.0493 0.5127 4.6695
Nb 0.0041 2.6510 4.7336
Nb 0.0035 2.5178 1.8145
Ru 0.0024 4.9066 3.4660
Rh 2.0482 2.8597 6.3705
CELL_PARAMETERS angstrom
4.0894 0.0016 0.0016
-0.0027 4.6442 0.3828
-0.0004 0.5512 6.1910

=====

! PBE Nb2Ru3Rh2, relaxed; values from VASP
! Size of the total moment = 0.000 μB per cell
! SG = P-1
! E_form = -25 meV/atom
! E = -8.978 eV per atom
&SYSTEM
  ibrav = 0, nat = 7, ntyp = 3
/
ATOMIC_SPECIES
Nb 92.91 Nb.upf
Ru 101.07 Ru.upf
Rh 102.91 Rh.upf
ATOMIC_POSITIONS angstrom
Nb 1.4218 10.1006 8.4420
Nb -0.9580 2.4672 4.5529
Ru 0.5923 6.0437 5.2480
Ru 0.0000 0.0000 0.0000
Ru -0.1285 6.5240 7.7469
Rh -0.3214 1.9248 1.8941
Rh 0.7851 10.6429 11.1008
CELL_PARAMETERS angstrom
-2.5427 0.9575 0.6566
0.7378 -2.5931 0.7034
2.2687 14.2033 11.6349

=====

! PBE Nb2Ru5Rh, relaxed; values from VASP
! Size of the total moment = 0.000 μB per cell
! SG = Pbam
! E_form = -186 meV/atom
! E = -9.419 eV per atom
&SYSTEM
  ibrav = 0, nat = 16, ntyp = 3
/
ATOMIC_SPECIES
Nb 92.91 Nb.upf
Ru 101.07 Ru.upf
Rh 102.91 Rh.upf
ATOMIC_POSITIONS angstrom
Nb 2.1392 4.8236 5.0860
Nb 4.5543 2.0857 3.6238
Nb 1.4751 0.0623 2.3402
Nb 5.2183 6.8471 6.3696
Ru 0.0000 0.0000 0.0000
Ru 3.4172 4.4192 2.6654
Ru 3.7204 6.8136 4.0449
Ru 3.1141 2.0248 1.2858
Ru 0.3715 2.3859 1.3775
Ru 6.4630 6.4524 3.9532
Ru 2.4539 7.1876 6.4487
Ru 4.2395 -0.2783 2.2612
Ru 1.8270 2.4217 3.7018
Ru 4.8665 4.4877 5.0081
Rh 0.6718 4.7604 2.7456
Rh 2.7454 -0.3412 -0.0802
CELL_PARAMETERS angstrom
-0.1410 -1.9290 3.3791
5.4909 -0.6824 -0.1604
1.3436 9.5208 5.4911

=====

! PBE Nb4RuRh, relaxed; values from VASP
! Size of the total moment = 0.000 μB per cell
! Energy above the lowest structure with this stoichiometry = 0 meV per atom
! SG = Pmma
! E_form = 19 meV/atom
! E = -9.465 eV per atom
&SYSTEM
  ibrav = 0, nat = 12, ntyp = 3
/
ATOMIC_SPECIES
Nb 92.91 Nb.upf
Ru 101.07 Ru.upf
Rh 102.91 Rh.upf
ATOMIC_POSITIONS angstrom
Nb 0.3523 -8.9913 2.3334
Nb 0.5552 -5.2400 0.0171
Nb 2.7978 -2.4702 -3.7403
Nb 2.5949 -6.2215 -1.4240
Nb 4.4246 -5.1891 -3.7966
Nb -1.2745 -6.2723 2.3896
Nb 0.0000 0.0000 0.0000
Nb -0.2036 -3.7648 2.3246
Ru 3.6698 -3.7228 -1.4879
Ru 1.5421 -6.5487 2.1887
Rh 1.5795 -2.7028 -0.0191
Rh 3.6324 -7.5686 0.7200
CELL_PARAMETERS angstrom
-2.0618 -1.1900 -2.1078
5.6191 -2.7419 -3.9484
-0.4072 -7.5295 4.6493

=====

! PBE Nb2Ru4Rh, relaxed; values from VASP
! Size of the total moment = 0.584 μB per cell
! Energy above the lowest structure with this stoichiometry = 1109 meV per atom
! SG = I4/mmm
! E_form = 1231 meV/atom
! E = -7.997 eV per atom
&SYSTEM
  ibrav = 0, nat = 7, ntyp = 3
/
ATOMIC_SPECIES
Ru 101.07 Ru.upf
Nb 92.91 Nb.upf
Rh 102.91 Rh.upf
ATOMIC_POSITIONS angstrom
Ru 1.3873 1.0348 4.7010
Ru -1.0948 0.0978 6.9432
Ru -0.1060 -1.7141 1.5413
Ru -1.4535 1.2473 1.2871
Nb -0.3462 0.1514 3.5994
Nb 0.6387 0.9812 8.0447
Rh 0.0000 0.0000 0.0000
CELL_PARAMETERS angstrom
-2.9070 2.4945 2.5743
-0.2120 -3.4282 3.0826
3.4115 2.0662 5.9873

=====

! PBE Nb4Ru5Rh, relaxed; values from VASP
! Size of the total moment = 0.000 μB per cell
! SG = P-1
! E_form = -240 meV/atom
! E = -9.641 eV per atom
&SYSTEM
  ibrav = 0, nat = 10, ntyp = 3
/
ATOMIC_SPECIES
Nb 92.91 Nb.upf
Ru 101.07 Ru.upf
Rh 102.91 Rh.upf
ATOMIC_POSITIONS angstrom
Nb 0.1915 -0.5274 3.9175
Nb 3.7528 -0.2817 2.9197
Nb 1.8185 1.9063 4.0569
Nb -1.7428 1.6606 5.0548
Ru -0.5046 2.4150 2.7337
Ru 1.4427 0.3832 1.7058
Ru 0.5672 0.9958 6.2686
Ru 1.8923 -2.2270 2.6849
Ru 2.5146 -1.0361 5.2408
Rh -0.5479 -1.6970 1.5810
CELL_PARAMETERS angstrom
-1.0958 -3.3940 3.1619
4.8804 -1.0599 2.2079
-1.7747 5.8329 2.6046

=====

! PBE Nb4RuRh7, relaxed; values from VASP
! Size of the total moment = 0.000 μB per cell
! SG = C2/m
! E_form = 25 meV/atom
! E = -8.392 eV per atom
&SYSTEM
  ibrav = 0, nat = 12, ntyp = 3
/
ATOMIC_SPECIES
Nb 92.91 Nb.upf
Ru 101.07 Ru.upf
Rh 102.91 Rh.upf
ATOMIC_POSITIONS angstrom
Nb 4.6153 2.1005 3.0692
Nb 4.6153 6.5711 2.1772
Nb 6.9230 5.9039 4.4427
Nb 2.3077 2.7677 0.8037
Ru 0.0000 0.0000 0.0000
Rh 6.9230 7.7423 2.7131
Rh 2.3077 0.9293 2.5333
Rh 2.3077 5.6197 1.0075
Rh 6.9230 3.0519 4.2389
Rh 4.6153 4.7295 3.8827
Rh 2.3077 0.0000 0.0000
Rh 4.6153 3.9421 1.3637
CELL_PARAMETERS angstrom
4.6153 0.0000 0.0000
2.3077 8.3253 -0.0080
2.3077 0.3463 5.2545

=====

! PBE NbRu3Rh, relaxed; values from VASP
! Size of the total moment = 0.191 μB per cell
! Energy above the lowest structure with this stoichiometry = 679 meV per atom
! SG = Pm-3m
! E_form = 1772 meV/atom
! E = -7.278 eV per atom
&SYSTEM
  ibrav = 0, nat = 5, ntyp = 3
/
ATOMIC_SPECIES
Ru 101.07 Ru.upf
Nb 92.91 Nb.upf
Rh 102.91 Rh.upf
ATOMIC_POSITIONS angstrom
Ru -0.1756 -1.6924 -1.5443
Ru 1.9647 -0.9079 0.7716
Ru -1.1785 -1.2615 1.5165
Nb 0.6106 -3.8618 0.7438
Rh 0.0000 0.0000 0.0000
CELL_PARAMETERS angstrom
-2.3570 -2.5229 3.0329
-0.3512 -3.3848 -3.0885
3.9295 -1.8158 1.5432

=====

! PBE Nb11Ru4Rh9, relaxed; values from VASP
! Size of the total moment = 0.000 μB per cell
! SG = Cmmm
! E_form = -313 meV/atom
! E = -9.232 eV per atom
&SYSTEM
  ibrav = 0, nat = 24, ntyp = 3
/
ATOMIC_SPECIES
Nb 92.91 Nb.upf
Ru 101.07 Ru.upf
Rh 102.91 Rh.upf
ATOMIC_POSITIONS angstrom
Nb 10.3666 -1.0229 0.3129
Nb 1.6671 2.4802 -3.3927
Nb 8.4502 3.3016 -5.1287
Nb 3.5835 -1.8443 2.0489
Nb 5.3013 2.3433 -3.5717
Nb 6.7324 -0.8861 0.4919
Nb 4.2256 4.7708 -6.6263
Nb 7.8081 -3.3136 3.5465
Nb 0.0000 0.0000 0.0000
Nb 8.6244 1.0444 -2.2073
Nb 3.4093 0.4128 -0.8726
Ru 8.3937 -1.4333 -1.4392
Ru 3.4597 0.5028 -3.4748
Ru 7.3282 0.9712 -4.4648
Ru 4.5253 -1.9018 -0.4491
Rh 3.3008 2.2298 -5.7076
Rh 8.5526 -3.1604 0.7937
Rh 5.8353 -3.4894 1.4891
Rh 6.0182 2.5589 -6.4031
Rh 10.9125 -0.8422 -2.4563
Rh 0.9409 -0.0883 -2.4577
Rh 10.0876 1.0193 -4.7986
Rh 1.7658 -1.9498 -0.1153
Rh 5.9267 -0.4653 -2.4570
CELL_PARAMETERS angstrom
-0.1803 -2.3878 -1.8341
3.2794 6.9059 -9.3130
8.7543 -5.4487 6.2332

=====

! PBE Nb14RuRh, relaxed; values from VASP
! Size of the total moment = 0.000 μB per cell
! SG = Cmmm
! E_form = -142 meV/atom
! E = -9.992 eV per atom
&SYSTEM
  ibrav = 0, nat = 16, ntyp = 3
/
ATOMIC_SPECIES
Nb 92.91 Nb.upf
Ru 101.07 Ru.upf
Rh 102.91 Rh.upf
ATOMIC_POSITIONS angstrom
Nb 3.1970 -3.5547 -0.4737
Nb -0.9043 -2.9132 1.6848
Nb 3.2998 -0.2080 3.7951
Nb 1.0856 -1.6971 0.0331
Nb 3.4215 -3.2821 4.9401
Nb 1.2073 -4.7707 1.1779
Nb 2.3198 0.8166 6.7001
Nb 0.1792 -0.6236 3.0610
Nb 2.4402 -2.2248 7.8329
Nb 0.2997 -3.6650 4.1938
Nb 4.4525 -1.0140 6.2141
Nb 2.2775 -2.4774 2.5164
Nb 0.3419 -0.3709 8.3777
Nb -1.8333 -1.8344 4.6797
Ru 1.3103 -1.4243 5.4467
Rh 5.4109 -2.0657 3.2885
CELL_PARAMETERS angstrom
-3.9797 -2.4321 3.3034
4.2231 -3.7152 -1.0137
4.4263 2.9782 7.5252

=====

! PBE NbRu2Rh, relaxed; values from VASP
! Size of the total moment = 0.000 μB per cell
! Energy above the lowest structure with this stoichiometry = 0 meV per atom
! SG = P4/mmm
! E_form = -263 meV/atom
! E = -9.256 eV per atom
&SYSTEM
  ibrav = 0, nat = 4, ntyp = 3
/
ATOMIC_SPECIES
Ru 101.07 Ru.upf
Nb 92.91 Nb.upf
Rh 102.91 Rh.upf
ATOMIC_POSITIONS angstrom
Ru 0.0000 0.0000 1.9437
Ru 0.0000 1.9437 0.0000
Nb 1.9697 0.0000 0.0000
Rh 1.9697 1.9437 1.9437
CELL_PARAMETERS angstrom
3.9395 0.0000 0.0000
0.0000 3.8875 0.0000
0.0000 0.0000 3.8875